Entry 1:
DFT (meta-GGA SCAN) results for Cd2GaSn2 at its PBEsol-relaxed geometry.

Calculated values
Its space group is I4/mmm. The formation energy is 0.195 eV per atom.

Structure (POSCAR):
```
Cd2GaSn2
1.0
4.541 0.000 0.000
0.000 4.541 0.000
-2.271 -2.271 6.295
Sn Ga Cd
2 1 2
direct
0.391 0.391 0.781 Sn
0.609 0.609 0.219 Sn
0.000 0.000 0.000 Ga
0.250 0.750 0.500 Cd
0.750 0.250 0.500 Cd
```


Entry 2:
DFT (meta-GGA SCAN) results for InFe2F2 at its PBEsol-relaxed geometry.

Calculated values
Its uncorrected energy is -82.17 eV for the cell shown. Its space group is I4/mmm.

Structure (POSCAR):
```
InFe2F2
1.0
-2.579 0.277 2.388
1.467 -2.594 1.885
3.322 4.604 0.451
F Fe In
2 2 1
direct
0.250 0.750 0.500 F
0.750 0.250 0.500 F
0.381 0.381 0.761 Fe
0.619 0.619 0.239 Fe
0.000 0.000 0.000 In
```


Entry 3:
DFT (meta-GGA SCAN) results for CrFeCl at its PBEsol-relaxed geometry.

Calculated values
Its uncorrected energy is -43.34 eV for the cell shown. Its space group is I4mm.

Structure (POSCAR):
```
CrFeCl
1.0
-2.251 -1.153 -1.095
0.381 -2.234 1.569
-1.755 3.663 3.221
Cr Fe Cl
1 1 1
direct
0.670 0.670 0.340 Cr
0.324 0.324 0.649 Fe
0.006 0.006 0.011 Cl
```


Entry 4:
DFT (meta-GGA SCAN) results for NaSc3Mn at its PBEsol-relaxed geometry.

Calculated values
Its space group is Pm-3m. The formation energy is 1.094 eV per atom.

Structure (POSCAR):
```
NaSc3Mn
1.0
5.043 0.000 0.000
0.000 5.043 0.000
0.000 0.000 5.043
Sc Na Mn
3 1 1
direct
0.000 0.500 0.000 Sc
0.000 0.000 0.500 Sc
0.500 0.000 0.000 Sc
0.000 0.000 0.000 Na
0.500 0.500 0.500 Mn
```


Entry 5:
DFT (meta-GGA SCAN) results for Cu4SbAu at its PBEsol-relaxed geometry.

Calculated values
Its uncorrected energy is -166.85 eV for the cell shown. Its space group is F-43m.

Structure (POSCAR):
```
Cu4SbAu
1.0
-4.505 1.902 -0.578
-3.935 -2.434 1.685
-2.468 1.712 3.902
Au Cu Sb
1 4 1
direct
0.000 0.000 0.000 Au
0.375 0.375 0.375 Cu
0.375 0.375 0.876 Cu
0.876 0.375 0.375 Cu
0.375 0.876 0.375 Cu
0.750 0.750 0.750 Sb
```


Entry 6:
DFT (meta-GGA SCAN) results for Rb2ReMoPt at its PBEsol-relaxed geometry.

Calculated values
Its space group is P4/mmm. The formation energy is 2.169 eV per atom.

Structure (POSCAR):
```
Rb2ReMoPt
1.0
4.691 0.000 0.000
0.000 6.449 0.000
0.000 0.000 6.449
Re Mo Rb Pt
1 1 2 1
direct
0.500 0.500 0.500 Re
0.000 0.000 0.000 Mo
0.000 0.000 0.500 Rb
0.000 0.500 0.000 Rb
0.500 0.000 0.000 Pt
```


Entry 7:
DFT (meta-GGA SCAN) results for CaTePt2 at its PBEsol-relaxed geometry.

Calculated values
Its uncorrected energy is -189.40 eV for the cell shown. Its space group is I4/mmm.

Structure (POSCAR):
```
CaTePt2
1.0
4.203 0.000 0.000
0.000 4.203 0.000
-2.101 -2.101 4.273
Ca Te Pt
1 1 2
direct
0.000 0.000 0.000 Ca
0.500 0.500 0.000 Te
0.750 0.250 0.500 Pt
0.250 0.750 0.500 Pt
```


Entry 8:
DFT (meta-GGA SCAN) results for BeCdTeN2 at its PBEsol-relaxed geometry.

Calculated values
The energy above the lowest structure with this stoichiometry is 0 meV per atom. Its space group is P4/mmm.

Structure (POSCAR):
```
BeCdTeN2
1.0
4.168 0.000 0.000
0.000 4.168 0.000
0.000 0.000 4.504
Be N Te Cd
1 2 1 1
direct
0.000 0.000 0.500 Be
0.000 0.500 0.000 N
0.500 0.000 0.000 N
0.000 0.000 0.000 Te
0.500 0.500 0.500 Cd
```


Entry 9:
DFT (meta-GGA SCAN) results for ZrGaSe2Br at its PBEsol-relaxed geometry.

Calculated values
Its uncorrected energy is -110.75 eV for the cell shown. Its space group is P4/mmm.

Structure (POSCAR):
```
ZrGaSe2Br
1.0
5.162 0.000 0.000
0.000 5.162 0.000
0.000 0.000 5.274
Ga Se Br Zr
1 2 1 1
direct
0.500 0.500 0.500 Ga
0.000 0.500 0.000 Se
0.500 0.000 0.000 Se
0.000 0.000 0.500 Br
0.000 0.000 0.000 Zr
```


Entry 10:
DFT (meta-GGA SCAN) results for CrSi2Hg at its PBEsol-relaxed geometry.

Calculated values
Its uncorrected energy is -104.75 eV for the cell shown. Its space group is I-4m2.

Structure (POSCAR):
```
CrSi2Hg
1.0
3.803 0.000 0.000
0.000 3.803 0.000
-1.901 -1.901 4.219
Cr Hg Si
1 1 2
direct
0.500 0.500 0.000 Cr
0.250 0.750 0.500 Hg
0.000 0.000 0.000 Si
0.750 0.250 0.500 Si
```


Entry 11:
DFT (meta-GGA SCAN) results for BaMn2CdW at its PBEsol-relaxed geometry.

Calculated values
Its space group is P4/mmm. The formation energy is 1.052 eV per atom.

Structure (POSCAR):
```
BaMn2CdW
1.0
-4.062 0.071 2.480
-2.229 -2.194 -3.588
1.336 -5.181 2.337
Mn Ba W Cd
2 1 1 1
direct
0.000 0.500 0.000 Mn
0.500 0.000 0.000 Mn
0.000 0.000 0.500 Ba
0.000 0.000 0.000 W
0.500 0.500 0.500 Cd
```


Entry 12:
DFT (meta-GGA SCAN) results for TiTePO2 at its PBEsol-relaxed geometry.

Calculated values
Its uncorrected energy is -78.04 eV for the cell shown. Its space group is P4/mmm.

Structure (POSCAR):
```
TiTePO2
1.0
3.948 0.000 0.000
0.000 3.948 0.000
0.000 0.000 5.297
P Te O Ti
1 1 2 1
direct
0.000 0.000 0.500 P
0.000 0.000 0.000 Te
0.000 0.500 0.000 O
0.500 0.000 0.000 O
0.500 0.500 0.500 Ti
```